DFT (PBE) results for a relaxed Na2HgPd2 crystal.

Geometry as CIF:
```
data_Na2HgPd2
_chemical_formula_sum 'Na4 Hg2 Pd4'
_cell_length_a 6.9715
_cell_length_b 6.9715
_cell_length_c 4.4371
_cell_angle_alpha 90.00
_cell_angle_beta 90.00
_cell_angle_gamma 90.00
_symmetry_space_group_name_H-M 'P 4/m b m'
_symmetry_Int_Tables_number 127
_symmetry_space_group_name_Hall '-P 4 2ab'
loop_
_atom_site_label
_atom_site_fract_x
_atom_site_fract_y
_atom_site_fract_z
Na1 0.1667 0.3333 0.0000
Hg1 0.0000 0.0000 0.5000
Pd1 0.1349 0.6349 0.5000
```

Summary:
DOS(E_F): 1.10 states/eV/f.u.
Excess energy over the best structure of this formula in the dataset: 0.000 eV/atom
Formation energy from the elements: -0.1741 eV/atom
V: 21.57 Å³ per atom

DFT (PBE) results for a relaxed NaHgPd2 crystal.

Geometry as CIF:
```
data_NaHgPd2
_chemical_formula_sum 'Na1 Hg1 Pd2'
_cell_length_a 3.4083
_cell_length_b 3.4083
_cell_length_c 6.3595
_cell_angle_alpha 90.00
_cell_angle_beta 90.00
_cell_angle_gamma 90.00
_symmetry_space_group_name_H-M 'P 4/m m m'
_symmetry_Int_Tables_number 123
_symmetry_space_group_name_Hall '-P 4 2'
loop_
_atom_site_label
_atom_site_fract_x
_atom_site_fract_y
_atom_site_fract_z
Na1 0.0000 0.0000 0.0000
Hg1 0.0000 0.0000 0.5000
Pd1 0.5000 0.5000 0.2650
```

Summary:
DOS(E_F): 1.25 states/eV/f.u.
Formation energy from the elements: -0.1095 eV/atom
V: 18.47 Å³ per atom

DFT (PBE) results for a relaxed Na2Hg2Pd crystal.

Geometry as CIF:
```
data_Na2Hg2Pd
_chemical_formula_sum 'Na8 Hg8 Pd4'
_cell_length_a 4.6908
_cell_length_b 4.6908
_cell_length_c 22.5129
_cell_angle_alpha 90.00
_cell_angle_beta 90.00
_cell_angle_gamma 90.00
_symmetry_space_group_name_H-M 'I 41/a m d'
_symmetry_Int_Tables_number 141
loop_
_symmetry_equiv_pos_as_xyz
'x,y,z'
'-x,-y,-z'
'-y+1/4,x+3/4,z+1/4'
'y+1/4,-x+3/4,-z+1/4'
'-x+1/2,-y,z+1/2'
'x+1/2,y,-z+1/2'
'y+1/4,-x+1/4,z+3/4'
'-y+1/4,x+1/4,-z+3/4'
'x,-y,-z'
'-x,y,z'
'-y+1/4,-x+1/4,-z+3/4'
'y+1/4,x+1/4,z+3/4'
'-x+1/2,y,-z+1/2'
'x+1/2,-y,z+1/2'
'y+1/4,x+3/4,-z+1/4'
'-y+1/4,-x+3/4,z+1/4'
'x+1/2,y+1/2,z+1/2'
'-x+1/2,-y+1/2,-z+1/2'
'-y+3/4,x+1/4,z+3/4'
'y+3/4,-x+1/4,-z+3/4'
'-x,-y+1/2,z'
'x,y+1/2,-z'
'y+3/4,-x+3/4,z+1/4'
'-y+3/4,x+3/4,-z+1/4'
'x+1/2,-y+1/2,-z+1/2'
'-x+1/2,y+1/2,z+1/2'
'-y+3/4,-x+3/4,-z+1/4'
'y+3/4,x+3/4,z+1/4'
'-x,y+1/2,-z'
'x,-y+1/2,z'
'y+3/4,x+1/4,-z+3/4'
'-y+3/4,-x+1/4,z+3/4'
loop_
_atom_site_label
_atom_site_fract_x
_atom_site_fract_y
_atom_site_fract_z
Na1 0.0000 0.2500 0.0536
Hg1 0.0000 0.2500 0.1949
Pd1 0.0000 0.2500 0.3750
```

Summary:
DOS(E_F): 2.02 states/eV/f.u.
Excess energy over the best structure of this formula in the dataset: 0.043 eV/atom
Formation energy from the elements: -0.1642 eV/atom
V: 24.77 Å³ per atom

DFT (PBE) results for a relaxed NaHgPd2 crystal.

Geometry as CIF:
```
data_NaHgPd2
_chemical_formula_sum 'Na1 Hg1 Pd2'
_cell_length_a 4.2624
_cell_length_b 4.2624
_cell_length_c 3.9070
_cell_angle_alpha 90.00
_cell_angle_beta 90.00
_cell_angle_gamma 90.00
_symmetry_space_group_name_H-M 'P 4/m m m'
_symmetry_Int_Tables_number 123
_symmetry_space_group_name_Hall '-P 4 2'
loop_
_atom_site_label
_atom_site_fract_x
_atom_site_fract_y
_atom_site_fract_z
Na1 0.0000 0.0000 0.0000
Hg1 0.5000 0.5000 0.0000
Pd1 0.0000 0.5000 0.5000
```

Summary:
DOS(E_F): 1.70 states/eV/f.u.
Formation energy from the elements: -0.1817 eV/atom
V: 17.75 Å³ per atom

DFT (PBE) results for a relaxed Na4Hg16Pd3 crystal.

Geometry as CIF:
```
data_Na4Hg16Pd3
_chemical_formula_sum 'Na4 Hg16 Pd3'
_cell_length_a 6.8942
_cell_length_b 6.8942
_cell_length_c 12.0734
_cell_angle_alpha 90.00
_cell_angle_beta 90.00
_cell_angle_gamma 90.00
_symmetry_space_group_name_H-M 'P 4/m m m'
_symmetry_Int_Tables_number 123
_symmetry_space_group_name_Hall '-P 4 2'
loop_
_atom_site_label
_atom_site_fract_x
_atom_site_fract_y
_atom_site_fract_z
Na1 0.0000 0.5000 0.1951
Hg1 0.0000 0.0000 0.2002
Hg2 0.2227 0.2227 0.0000
Hg3 0.2445 0.2445 0.3744
Hg4 0.5000 0.5000 0.2247
Pd1 0.0000 0.5000 0.5000
Pd2 0.5000 0.5000 0.0000
```

Summary:
DOS(E_F): 10.35 states/eV/f.u.
Formation energy from the elements: -0.1399 eV/atom
V: 24.95 Å³ per atom

DFT (PBE) results for a relaxed Na3Hg3Pd2 crystal.

Geometry as CIF:
```
data_Na3Hg3Pd2
_chemical_formula_sum 'Na6 Hg6 Pd4'
_cell_length_a 18.3545
_cell_length_b 4.3519
_cell_length_c 4.4394
_cell_angle_alpha 90.00
_cell_angle_beta 102.45
_cell_angle_gamma 90.00
_symmetry_space_group_name_H-M 'C 1 2/m 1'
_symmetry_Int_Tables_number 12
loop_
_symmetry_equiv_pos_as_xyz
'x,y,z'
'-x,-y,-z'
'-x,y,-z'
'x,-y,z'
'x+1/2,y+1/2,z'
'-x+1/2,-y+1/2,-z'
'-x+1/2,y+1/2,-z'
'x+1/2,-y+1/2,z'
loop_
_atom_site_label
_atom_site_fract_x
_atom_site_fract_y
_atom_site_fract_z
Na1 0.0000 0.0000 0.0000
Na2 0.1389 0.0000 0.6462
Hg1 0.0000 0.5000 0.5000
Hg2 0.1479 0.5000 0.1590
Pd1 0.2493 0.0000 0.2472
```

Summary:
DOS(E_F): 3.29 states/eV/f.u.
Excess energy over the best structure of this formula in the dataset: 0.000 eV/atom
Formation energy from the elements: -0.2067 eV/atom
V: 21.64 Å³ per atom

Theoretical density, record by record: 7.07, 9.81, 7.42, 10.21, 10.48, 8.47 Mg/m³
DFT total energy, record by record: -2.84, -3.11, -1.85, -3.18, -1.26, -2.11 eV per atom